LaCuBr2 | PBE-GGA | optimized geometry

a b c (Å): 3.6929 6.8402 8.6802
angles (deg): 90.00 90.00 90.00
Space group Cmmm (No. 65)
Symmetry-distinct sites (fractional):
La 0.0000 0.0000 0.0000
Cu 0.0000 0.0000 0.5000
Br 0.0000 0.5000 0.2971

Values from the calculation:
Excess energy over the best structure of this formula in the dataset   421 meV/atom
Electronic total energy   -3.648 eV/atom
Uncorrected formation energy   -0.56 eV per atom